Record 1
This record from the Alexandria database describes a geometry-optimized Mn2HgCl structure. The functional is GGA-PBE.

Output
- crystal system = cubic
- excess energy over the best structure of this formula in the dataset (meV/atom) = 1154

Lattice parameters (Å, degrees): 4.400 4.400 4.400 60.00 60.00 60.00
Element x y z (fractional)
Mn 0.250 0.250 0.250
Mn 0.750 0.750 0.750
Hg 0.500 0.500 0.500
Cl 0.000 0.000 0.000

=====

Record 2
This record from the Alexandria database describes a geometry-optimized HgMo2Ir structure. The functional is GGA-PBE.

Output
- energy of formation from the pure elements (eV/atom) = 0.2469
- crystal system = orthorhombic

Lattice parameters (Å, degrees): 4.566 2.824 5.067 90.02 90.00 90.00
Element x y z (fractional)
Hg 0.000 0.625 0.469
Ir 0.500 0.625 0.797
Mo 0.000 0.125 0.966
Mo 0.500 0.125 0.268

=====

Record 3
This record from the Alexandria database describes a geometry-optimized TbErPd structure. The functional is GGA-PBE.

Output
- energy of formation from the pure elements (eV/atom) = -0.5626
- crystal system = hexagonal
- excess energy over the best structure of this formula in the dataset (meV/atom) = 0

Lattice parameters (Å, degrees): 7.388 7.388 9.641 90.00 90.00 120.00
Element x y z (fractional)
Tb 0.000 0.263 0.000
Tb 0.737 0.737 0.000
Tb 0.263 0.000 0.000
Tb 0.000 0.263 0.500
Tb 0.737 0.737 0.500
Tb 0.263 0.000 0.500
Er 0.000 0.593 0.250
Er 0.407 0.407 0.250
Er 0.593 0.000 0.250
Er 0.407 0.407 0.750
Er 0.000 0.593 0.750
Er 0.593 0.000 0.750
Pd 0.000 0.000 0.250
Pd 0.000 0.000 0.750
Pd 0.667 0.333 0.000
Pd 0.667 0.333 0.500
Pd 0.333 0.667 0.000
Pd 0.333 0.667 0.500

=====

Record 4
This record from the Alexandria database describes a geometry-optimized Li3DyMg4 structure. The functional is GGA-PBE.

Output
- energy of formation from the pure elements (eV/atom) = -0.0551
- crystal system = tetragonal

Lattice parameters (Å, degrees): 3.480 3.480 14.622 90.00 90.00 90.00
Each line ends with the local moment (μB).
Element x y z (fractional)
Mg 0.000 0.000 0.845  0.00
Mg 0.000 0.000 0.155  0.00
Mg 0.000 0.000 0.386  0.00
Mg 0.000 0.000 0.614  0.00
Dy 0.500 0.500 0.000  0.06
Li 0.500 0.500 0.268  0.00
Li 0.500 0.500 0.500  0.00
Li 0.500 0.500 0.732  0.00

=====

Record 5
This record from the Alexandria database describes a geometry-optimized CuAs3Pt structure. The functional is GGA-PBE.

Output
- energy of formation from the pure elements (eV/atom) = 0.7381
- crystal system = cubic
- excess energy over the best structure of this formula in the dataset (meV/atom) = 0

Lattice parameters (Å, degrees): 4.615 4.615 4.615 90.00 90.00 90.00
Element x y z (fractional)
As 0.000 0.500 0.000
As 0.000 0.000 0.500
As 0.500 0.000 0.000
Cu 0.000 0.000 0.000
Pt 0.500 0.500 0.500

=====

Record 6
This record from the Alexandria database describes a geometry-optimized Na3La3SbS8 structure. The functional is GGA-PBE.

Output
- crystal system = trigonal
- VASP energy (eV/atom) = -5.22

Lattice parameters (Å, degrees): 8.327 8.327 8.240 120.36 90.00 120.00
Element x y z (fractional)
Na 0.000 0.000 0.000
Na 0.000 0.500 0.000
Na 0.500 0.500 0.000
La 0.500 0.000 0.500
La 0.500 0.500 0.500
La 0.000 0.500 0.500
Sb 0.000 0.000 0.500
S 0.255 0.511 0.267
S 0.745 0.489 0.733
S 0.772 0.545 0.278
S 0.228 0.455 0.722
S 0.772 0.005 0.278
S 0.228 0.995 0.722
S 0.233 0.005 0.278
S 0.767 0.995 0.722

=====

What did the fifth record say?
This record from the Alexandria database describes a geometry-optimized CuAs3Pt structure. The functional is GGA-PBE.

Output
- energy of formation from the pure elements (eV/atom) = 0.7381
- crystal system = cubic
- excess energy over the best structure of this formula in the dataset (meV/atom) = 0

Lattice parameters (Å, degrees): 4.615 4.615 4.615 90.00 90.00 90.00
Element x y z (fractional)
As 0.000 0.500 0.000
As 0.000 0.000 0.500
As 0.500 0.000 0.000
Cu 0.000 0.000 0.000
Pt 0.500 0.500 0.500